(1)
## Th2FeS5 (PBE)

Data for an optimized crystal structure of Th2FeS5.

Computed properties:
As for the space-group type: C2/c. Its raw total energy is -7.01 eV/atom. For the mass density, the calculation gives 6.61 g/cm³.

Lattice parameters (Å, degrees): 8.1396 8.1396 7.2279 96.40 96.40 45.98
Last column: magnetic moment on the atom in μB.
Atoms (fractional coordinates):
Fe (0.0000, 0.5000, 0.0000)  3.30
Fe (0.5000, 0.0000, 0.5000)  3.32
S (0.2805, 0.5379, 0.0670)  0.07
S (0.7031, 0.8535, 0.1879)  0.08
S (0.9199, 0.0801, 0.2500)  0.01
S (0.1465, 0.2969, 0.3121)  0.08
S (0.4621, 0.7195, 0.4330)  0.07
S (0.5379, 0.2805, 0.5670)  0.07
S (0.8535, 0.7031, 0.6879)  0.08
S (0.0801, 0.9199, 0.7500)  0.01
S (0.2969, 0.1465, 0.8121)  0.08
S (0.7195, 0.4621, 0.9330)  0.07
Th (0.3254, 0.8881, 0.0784)  0.03
Th (0.1119, 0.6746, 0.4216)  0.03
Th (0.8881, 0.3254, 0.5784)  0.03
Th (0.6746, 0.1119, 0.9216)  0.03

(2)
## YHoAl2Pt4 (PBE)

Data for an optimized crystal structure of YHoAl2Pt4.

Computed properties:
As for the space-group type: P-6m2. Its raw total energy is -6.53 eV/atom. For the mass density, the calculation gives 12.01 g/cm³.

Lattice parameters (Å, degrees): 4.3381 4.3381 9.2344 90.00 90.00 120.00
Atoms (fractional coordinates):
Al (0.3333, 0.6667, 0.2505)
Al (0.3333, 0.6667, 0.7496)
Ho (0.0000, 0.0000, 0.5000)
Pt (0.0000, 0.0000, 0.1687)
Pt (0.6667, 0.3333, 0.3358)
Pt (0.6667, 0.3333, 0.6642)
Pt (0.0000, 0.0000, 0.8313)
Y (0.6667, 0.3333, 0.0000)

(3)
## Cd3Ag (PBE)

Data for an optimized crystal structure of Cd3Ag.

Computed properties:
As for the space-group type: Pmmn. Its raw total energy is -1.43 eV/atom. The formation energy is -56 meV/atom. For the mass density, the calculation gives 9.10 g/cm³.

Lattice parameters (Å, degrees): 4.8381 6.1991 5.4182 90.00 90.00 90.00
Atoms (fractional coordinates):
Ag (0.5000, 0.5000, 0.3275)
Ag (0.0000, 0.0000, 0.6725)
Cd (0.0000, 0.2492, 0.1683)
Cd (0.0000, 0.7508, 0.1683)
Cd (0.5000, 0.0000, 0.3465)
Cd (0.0000, 0.5000, 0.6535)
Cd (0.5000, 0.2508, 0.8317)
Cd (0.5000, 0.7492, 0.8317)

(4)
## CoCuReAg (PBE)

Data for an optimized crystal structure of CoCuReAg.

Computed properties:
As for the space-group type: F-43m. Its raw total energy is -5.97 eV/atom. The formation energy is 543 meV/atom. For the mass density, the calculation gives 12.93 g/cm³.

Lattice parameters (Å, degrees): 4.2292 4.2292 4.2292 60.00 60.00 60.00
Atoms (fractional coordinates):
Ag (0.0000, 0.0000, 0.0000)
Co (0.2500, 0.2500, 0.2500)
Cu (0.7500, 0.7500, 0.7500)
Re (0.5000, 0.5000, 0.5000)

(5)
## ZrNb2Pb (PBE)

Data for an optimized crystal structure of ZrNb2Pb.

Computed properties:
As for the space-group type: F-43m. Its raw total energy is -7.99 eV/atom. For the mass density, the calculation gives 9.82 g/cm³.

Lattice parameters (Å, degrees): 4.8745 4.8745 4.8745 60.00 60.00 60.00
Atoms (fractional coordinates):
Nb (0.0000, 0.0000, 0.0000)
Nb (0.7500, 0.7500, 0.7500)
Pb (0.5000, 0.5000, 0.5000)
Zr (0.2500, 0.2500, 0.2500)

(6)
## Lu2Si3W4C3 (PBE)

Data for an optimized crystal structure of Lu2Si3W4C3.

Computed properties:
As for the space-group type: C2/c. Its raw total energy is -9.04 eV/atom. For the mass density, the calculation gives 11.93 g/cm³.

Lattice parameters (Å, degrees): 5.4215 5.4215 13.5118 90.53 101.11 119.78
Atoms (fractional coordinates):
C (0.3336, 0.1661, 0.0000)
C (0.0000, 0.5000, 0.0000)
C (0.6664, 0.8339, 0.0000)
C (0.3338, 0.6664, 0.4999)
C (0.0000, 0.0000, 0.5000)
C (0.6662, 0.3336, 0.5001)
Lu (0.7419, 0.5415, 0.1193)
Lu (0.9222, 0.6226, 0.3807)
Lu (0.0778, 0.3774, 0.6193)
Lu (0.2581, 0.4585, 0.8807)
Si (0.8369, 0.1030, 0.2498)
Si (0.3204, 0.0704, 0.2500)
Si (0.3532, 0.5871, 0.2502)
Si (0.6468, 0.4129, 0.7498)
Si (0.6796, 0.9296, 0.7500)
Si (0.1631, 0.8970, 0.7502)
W (0.3882, 0.8523, 0.0827)
W (0.0651, 0.2029, 0.0830)
W (0.6200, 0.9822, 0.4170)
W (0.2696, 0.3054, 0.4173)
W (0.7304, 0.6946, 0.5827)
W (0.3800, 0.0178, 0.5830)
W (0.9349, 0.7971, 0.9170)
W (0.6118, 0.1477, 0.9173)

(7)
## HoErNCl3 (PBE)

Data for an optimized crystal structure of HoErNCl3.

Computed properties:
As for the space-group type: C2/m. Its raw total energy is -5.97 eV/atom. For the mass density, the calculation gives 5.18 g/cm³.

Lattice parameters (Å, degrees): 8.6314 8.6314 10.8991 122.51 122.51 25.37
Atoms (fractional coordinates):
Cl (0.6684, 0.6684, 0.0122)
Cl (0.0417, 0.0417, 0.2526)
Cl (0.7843, 0.7843, 0.3857)
Cl (0.2157, 0.2157, 0.6143)
Cl (0.9583, 0.9583, 0.7474)
Cl (0.3316, 0.3316, 0.9878)
Er (0.5807, 0.5807, 0.4576)
Er (0.4193, 0.4193, 0.5424)
Ho (0.8620, 0.8620, 0.2078)
Ho (0.1380, 0.1380, 0.7922)
N (0.4236, 0.4236, 0.3431)
N (0.5764, 0.5764, 0.6569)

(8)
## Gd4C3Br3 (PBE)

Data for an optimized crystal structure of Gd4C3Br3.

Computed properties:
As for the space-group type: P2_1/m. Its raw total energy is -6.14 eV/atom. For the mass density, the calculation gives 6.77 g/cm³.

Lattice parameters (Å, degrees): 10.0829 3.7483 12.2640 90.00 106.77 90.00
Atoms (fractional coordinates):
Br (0.5348, 0.7500, 0.1405)
Br (0.2551, 0.2500, 0.2628)
Br (0.6477, 0.2500, 0.4514)
Br (0.3523, 0.7500, 0.5486)
Br (0.7449, 0.7500, 0.7372)
Br (0.4652, 0.2500, 0.8595)
C (0.8726, 0.2500, 0.0004)
C (0.8449, 0.2500, 0.1028)
C (0.9486, 0.7500, 0.3666)
C (0.0514, 0.2500, 0.6334)
C (0.1551, 0.7500, 0.8972)
C (0.1274, 0.7500, 0.9996)
Gd (0.2921, 0.2500, 0.0313)
Gd (0.0204, 0.7500, 0.1527)
Gd (0.7913, 0.2500, 0.2767)
Gd (0.1168, 0.2500, 0.4519)
Gd (0.8832, 0.7500, 0.5481)
Gd (0.2087, 0.7500, 0.7233)
Gd (0.9796, 0.2500, 0.8473)
Gd (0.7079, 0.7500, 0.9687)

(9)
## NaRePbW (PBE)

Data for an optimized crystal structure of NaRePbW.

Computed properties:
As for the space-group type: F-43m. Its raw total energy is -6.77 eV/atom. For the mass density, the calculation gives 14.13 g/cm³.

Lattice parameters (Å, degrees): 4.6380 4.6380 4.6380 60.00 60.00 60.00
Atoms (fractional coordinates):
Na (0.7500, 0.7500, 0.7500)
Pb (0.5000, 0.5000, 0.5000)
Re (0.2500, 0.2500, 0.2500)
W (0.0000, 0.0000, 0.0000)

(10)
## SrAu4 (PBE)

Data for an optimized crystal structure of SrAu4.

Computed properties:
As for the space-group type: P4/mbm. Its raw total energy is -3.30 eV/atom. For the mass density, the calculation gives 13.56 g/cm³.

Lattice parameters (Å, degrees): 7.8183 7.8183 3.5090 90.00 90.00 90.00
Atoms (fractional coordinates):
Au (0.6259, 0.1259, 0.0000)
Au (0.1259, 0.3741, 0.0000)
Au (0.8741, 0.6259, 0.0000)
Au (0.3741, 0.8741, 0.0000)
Au (0.3268, 0.1732, 0.5000)
Au (0.8268, 0.3268, 0.5000)
Au (0.1732, 0.6732, 0.5000)
Au (0.6732, 0.8268, 0.5000)
Sr (0.0000, 0.0000, 0.0000)
Sr (0.5000, 0.5000, 0.0000)

(11)
## Dy2Er5Pd2Se2 (PBE)

Data for an optimized crystal structure of Dy2Er5Pd2Se2.

Computed properties:
As for the space-group type: Imm2. Its raw total energy is -5.46 eV/atom. For the mass density, the calculation gives 9.29 g/cm³.

Lattice parameters (Å, degrees): 9.1157 9.1157 9.1157 155.52 67.30 118.41
Atoms (fractional coordinates):
Dy (0.6264, 0.2637, 0.3627)
Dy (0.9010, 0.2637, 0.6373)
Er (0.5164, 0.5164, 0.0000)
Er (0.2279, 0.1062, 0.1216)
Er (0.2165, 0.8968, 0.3197)
Er (0.5771, 0.8968, 0.6803)
Er (0.9846, 0.1062, 0.8784)
Pd (0.8329, 0.5932, 0.2398)
Pd (0.3534, 0.5932, 0.7602)
Se (0.8590, 0.8590, 0.0000)
Se (0.2586, 0.7586, 0.5000)

(12)
## Zr2SiPt (PBE)

Data for an optimized crystal structure of Zr2SiPt.

Computed properties:
As for the space-group type: Amm2. Its raw total energy is -8.09 eV/atom. For the mass density, the calculation gives 8.92 g/cm³.

Lattice parameters (Å, degrees): 3.9798 5.4998 5.4998 38.84 90.00 90.00
Atoms (fractional coordinates):
Pt (0.0000, 0.9254, 0.9254)
Si (0.5000, 0.0814, 0.0814)
Zr (0.5000, 0.3472, 0.3472)
Zr (0.0000, 0.6460, 0.6460)

(13)
## GePt15 (PBE)

Data for an optimized crystal structure of GePt15.

Computed properties:
As for the space-group type: P2/c. Its raw total energy is -5.93 eV/atom. For the mass density, the calculation gives 12.41 g/cm³.

Lattice parameters (Å, degrees): 4.8131 36.8544 4.8141 90.00 109.95 90.00
Atoms (fractional coordinates):
Ge (0.0000, 0.2136, 0.0000)
Ge (0.0000, 0.7864, 0.5000)
Pt (0.5000, 0.2446, 0.0000)
Pt (0.0000, 0.2867, 0.0000)
Pt (0.5000, 0.3252, 0.0000)
Pt (0.0000, 0.3645, 0.0000)
Pt (0.5000, 0.4032, 0.0000)
Pt (0.0000, 0.4421, 0.0000)
Pt (0.5000, 0.4807, 0.0000)
Pt (0.0000, 0.5194, 0.0000)
Pt (0.5000, 0.5582, 0.0000)
Pt (0.0000, 0.5968, 0.0000)
Pt (0.5000, 0.6357, 0.0000)
Pt (0.0000, 0.6747, 0.0000)
Pt (0.5000, 0.7134, 0.0000)
Pt (0.0000, 0.7554, 0.0000)
Pt (0.5000, 0.7891, 0.0000)
Pt (0.5000, 0.2109, 0.5000)
Pt (0.0000, 0.2446, 0.5000)
Pt (0.5000, 0.2866, 0.5000)
Pt (0.0000, 0.3253, 0.5000)
Pt (0.5000, 0.3643, 0.5000)
Pt (0.0000, 0.4032, 0.5000)
Pt (0.5000, 0.4418, 0.5000)
Pt (0.0000, 0.4806, 0.5000)
Pt (0.5000, 0.5193, 0.5000)
Pt (0.0000, 0.5579, 0.5000)
Pt (0.5000, 0.5968, 0.5000)
Pt (0.0000, 0.6355, 0.5000)
Pt (0.5000, 0.6748, 0.5000)
Pt (0.0000, 0.7133, 0.5000)
Pt (0.5000, 0.7554, 0.5000)

(14)
## MgNbAgPd (PBE)

Data for an optimized crystal structure of MgNbAgPd.

Computed properties:
As for the space-group type: F-43m. Its raw total energy is -5.00 eV/atom. For the mass density, the calculation gives 8.01 g/cm³.

Lattice parameters (Å, degrees): 4.5982 4.5982 4.5982 60.00 60.00 60.00
Atoms (fractional coordinates):
Ag (0.5000, 0.5000, 0.5000)
Mg (0.7500, 0.7500, 0.7500)
Nb (0.2500, 0.2500, 0.2500)
Pd (0.0000, 0.0000, 0.0000)

(15)
## Be2AlRe (PBE)

Data for an optimized crystal structure of Be2AlRe.

Computed properties:
As for the space-group type: F-43m. Its raw total energy is -5.70 eV/atom. For the mass density, the calculation gives 8.04 g/cm³.

Lattice parameters (Å, degrees): 4.0726 4.0726 4.0726 60.00 60.00 60.00
Atoms (fractional coordinates):
Al (0.5000, 0.5000, 0.5000)
Be (0.0000, 0.0000, 0.0000)
Be (0.7500, 0.7500, 0.7500)
Re (0.2500, 0.2500, 0.2500)

(16)
## HoScPO (PBE)

Data for an optimized crystal structure of HoScPO.

Computed properties:
As for the space-group type: P4/nmm. Its raw total energy is -7.04 eV/atom. For the mass density, the calculation gives 5.22 g/cm³.

Lattice parameters (Å, degrees): 4.4353 4.4353 8.3065 90.00 90.00 90.00
Atoms (fractional coordinates):
Ho (0.0000, 0.0000, 0.5000)
Ho (0.5000, 0.5000, 0.5000)
O (0.0000, 0.0000, 0.0000)
O (0.5000, 0.5000, 0.0000)
P (0.5000, 0.0000, 0.3165)
P (0.0000, 0.5000, 0.6835)
Sc (0.5000, 0.0000, 0.0044)
Sc (0.0000, 0.5000, 0.9956)

(17)
## NbB4Sb (PBE)

Data for an optimized crystal structure of NbB4Sb.

Computed properties:
As for the space-group type: P6/mmm. Its raw total energy is -6.81 eV/atom. For the mass density, the calculation gives 6.09 g/cm³.

Lattice parameters (Å, degrees): 3.0603 3.0603 8.6694 90.00 90.00 120.00
Atoms (fractional coordinates):
B (0.6667, 0.3333, 0.1933)
B (0.3333, 0.6667, 0.1933)
B (0.6667, 0.3333, 0.8067)
B (0.3333, 0.6667, 0.8067)
Nb (0.0000, 0.0000, 0.0000)
Sb (0.0000, 0.0000, 0.5000)

(18)
## KRbInAgAu2 (PBE)

Data for an optimized crystal structure of KRbInAgAu2.

Computed properties:
As for the space-group type: Pmma. Its raw total energy is -2.63 eV/atom. For the mass density, the calculation gives 6.87 g/cm³.

Lattice parameters (Å, degrees): 5.7169 6.7861 9.2397 90.00 90.00 90.00
Atoms (fractional coordinates):
Ag (0.0000, 0.0000, 0.5000)
Ag (0.5000, 0.0000, 0.5000)
Au (0.2500, 0.2125, 0.2846)
Au (0.2500, 0.7875, 0.2846)
Au (0.7500, 0.2125, 0.7154)
Au (0.7500, 0.7875, 0.7154)
In (0.2500, 0.5000, 0.0771)
In (0.7500, 0.5000, 0.9229)
K (0.7500, 0.5000, 0.3641)
K (0.2500, 0.5000, 0.6359)
Rb (0.7500, 0.0000, 0.1272)
Rb (0.2500, 0.0000, 0.8728)

(19)
## Hg2BiAs (PBE)

Data for an optimized crystal structure of Hg2BiAs.

Computed properties:
As for the space-group type: F-43m. Its raw total energy is -2.12 eV/atom. For the mass density, the calculation gives 11.17 g/cm³.

Lattice parameters (Å, degrees): 5.2422 5.2422 5.2422 60.00 60.00 60.00
Atoms (fractional coordinates):
As (0.5000, 0.5000, 0.5000)
Bi (0.2500, 0.2500, 0.2500)
Hg (0.0000, 0.0000, 0.0000)
Hg (0.7500, 0.7500, 0.7500)

(20)
## Li2TaSi (PBE)

Data for an optimized crystal structure of Li2TaSi.

Computed properties:
As for the space-group type: F-43m. Its raw total energy is -5.15 eV/atom. For the mass density, the calculation gives 6.52 g/cm³.

Lattice parameters (Å, degrees): 4.3133 4.3133 4.3133 60.00 60.00 60.00
Last column: magnetic moment on the atom in μB.
Atoms (fractional coordinates):
Li (0.0000, 0.0000, 0.0000)  0.01
Li (0.7500, 0.7500, 0.7500)  0.00
Si (0.5000, 0.5000, 0.5000)  -0.01
Ta (0.2500, 0.2500, 0.2500)  0.32

(21)
## Dy3ErIn2C2 (PBE)

Data for an optimized crystal structure of Dy3ErIn2C2.

Computed properties:
As for the space-group type: P3m1. Its raw total energy is -5.68 eV/atom. For the mass density, the calculation gives 8.28 g/cm³.

Lattice parameters (Å, degrees): 3.5878 3.5878 16.3460 90.00 90.00 120.00
Last column: magnetic moment on the atom in μB.
Atoms (fractional coordinates):
C (0.6667, 0.3333, 0.0009)  0.00
C (0.6667, 0.3333, 0.4998)  -0.01
Dy (0.0000, 0.0000, 0.4165)  0.03
Dy (0.3333, 0.6667, 0.5828)  0.08
Dy (0.3333, 0.6667, 0.9182)  0.06
Er (0.0000, 0.0000, 0.0829)  0.01
In (0.3333, 0.6667, 0.2487)  0.01
In (0.0000, 0.0000, 0.7502)  0.04

(22)
## TbSbN2O (PBE)

Data for an optimized crystal structure of TbSbN2O.

Computed properties:
As for the space-group type: C2/m. Its raw total energy is -6.99 eV/atom. For the mass density, the calculation gives 8.46 g/cm³.

Lattice parameters (Å, degrees): 5.6358 5.6358 5.6240 119.72 119.72 89.98
Atoms (fractional coordinates):
N (0.8099, 0.1901, 0.0000)
N (0.1901, 0.8099, 0.0000)
N (0.3604, 0.3604, 0.1346)
N (0.6396, 0.6396, 0.8654)
O (0.8243, 0.1757, 0.5000)
O (0.1757, 0.8243, 0.5000)
Sb (0.5000, 0.0000, 0.0000)
Sb (0.0000, 0.5000, 0.0000)
Tb (0.2291, 0.2291, 0.4611)
Tb (0.7709, 0.7709, 0.5389)